A plane-wave DFT calculation with PBE-GGA was carried out for CsHg3Au after structural relaxation.

The calculated volume comes out at 35.11 Å³ per atom. The value obtained for the formation energy from the elements is -0.20 eV/atom. Its total magnetization is 0.0 μB/f.u. As for the total DFT energy (no corrections): -0.0890 Ry per atom.

The space group is P2_1/m (No. 11) and the conventional cell measures 5.6271, 7.4471 and 8.4829 Å, with angles of 90.00, 99.05 and 90.00 degrees. The distinct sites, in fractional coordinates, are Cs at (0.1515, 0.2500, 0.1547), Hg at (0.2798, 0.5455, 0.5737), Hg at (0.4442, 0.7500, 0.1830) and Au at (0.0265, 0.2500, 0.7083).


A plane-wave DFT calculation with PBE-GGA was carried out for KSm2Sc after structural relaxation.

The calculated volume comes out at 35.72 Å³ per atom. The value obtained for the formation energy from the elements is 0.24 eV/atom. Its total magnetization is 0.0 μB/f.u. As for the total DFT energy (no corrections): -0.2926 Ry per atom.

The space group is R-3m (No. 166, hexagonal axes) and the conventional cell measures 3.5587, 3.5587 and 39.0846 Å, with angles of 90.00, 90.00 and 120.00 degrees. The distinct sites, in fractional coordinates, are K at (0.0000, 0.0000, 0.0000), Sm at (0.0000, 0.0000, 0.0984) and Sc at (0.0000, 0.0000, 0.5000).


A plane-wave DFT calculation with PBE-GGA was carried out for Rb3SnGe2I9 after structural relaxation.

The calculated volume comes out at 44.35 Å³ per atom. Its total magnetization is 0.0 μB/f.u. As for the raw formation energy: -0.80 eV/atom. As for the total DFT energy (no corrections): -0.2066 Ry per atom.

The space group is P-3m1 (No. 164) and the conventional cell measures 8.5467, 8.5467 and 10.5172 Å, with angles of 90.00, 90.00 and 120.00 degrees. The distinct sites, in fractional coordinates, are Rb at (0.0000, 0.0000, 0.0000), Rb at (0.3333, 0.6667, 0.6867), Sn at (0.0000, 0.0000, 0.5000), Ge at (0.3333, 0.6667, 0.1625), I at (0.0000, 0.5000, 0.0000) and I at (0.1702, 0.3405, 0.3261).


A plane-wave DFT calculation with PBE-GGA was carried out for CsThAu after structural relaxation.

The calculated volume comes out at 42.10 Å³ per atom. The value obtained for the formation energy from the elements is -0.11 eV/atom. Its total magnetization is 0.0 μB/f.u. As for the total DFT energy (no corrections): -0.2909 Ry per atom.

The space group is P2_1/m (No. 11) and the conventional cell measures 5.4180, 5.4120 and 8.6140 Å, with angles of 90.00, 90.07 and 90.00 degrees. The distinct sites, in fractional coordinates, are Cs at (0.2498, 0.2500, 0.1110), Th at (0.2498, 0.7500, 0.4986) and Au at (0.2505, 0.2500, 0.6457).


A plane-wave DFT calculation with PBE-GGA was carried out for ErMnSi2W after structural relaxation.

The calculated volume comes out at 16.73 Å³ per atom. Its total magnetization is 2.2 μB/f.u. As for the raw formation energy: -0.46 eV/atom. As for the total DFT energy (no corrections): -0.5855 Ry per atom.

The space group is I-4m2 (No. 119) and the conventional cell measures 3.9165, 3.9165 and 10.9079 Å, with angles of 90.00, 90.00 and 90.00 degrees. The distinct sites, in fractional coordinates, are Er at (0.0000, 0.0000, 0.0000), Mn at (0.0000, 0.5000, 0.2500), Si at (0.0000, 0.0000, 0.3901) and W at (0.0000, 0.5000, 0.7500).


A plane-wave DFT calculation with PBE-GGA was carried out for La2PmNd5Y after structural relaxation.

The calculated volume comes out at 35.48 Å³ per atom. The value obtained for the formation energy from the elements is 0.24 eV/atom. Its total magnetization is 0.0 μB/f.u. As for the total DFT energy (no corrections): -0.3489 Ry per atom.

The space group is I4/mcm (No. 140) and the conventional cell measures 8.7929, 8.7929 and 16.5203 Å, with angles of 90.00, 90.00 and 90.00 degrees. The distinct sites, in fractional coordinates, are La at (0.1198, 0.3802, 0.0000), Pm at (0.0000, 0.0000, 0.2500), Nd at (0.0000, 0.0000, 0.0000), Nd at (0.2195, 0.2805, 0.3573) and Y at (0.0000, 0.5000, 0.2500).


A plane-wave DFT calculation with PBE-GGA was carried out for LaZnI2N after structural relaxation.

The calculated volume comes out at 26.30 Å³ per atom. Its total magnetization is 0.8 μB/f.u. As for the raw formation energy: -0.08 eV/atom. As for the total DFT energy (no corrections): -0.2654 Ry per atom.

The space group is P4/mmm (No. 123) and the conventional cell measures 5.8991, 5.8991 and 3.7784 Å, with angles of 90.00, 90.00 and 90.00 degrees. The distinct sites, in fractional coordinates, are La at (0.0000, 0.0000, 0.0000), Zn at (0.5000, 0.5000, 0.5000), I at (0.0000, 0.5000, 0.5000) and N at (0.5000, 0.5000, 0.0000).


A plane-wave DFT calculation with PBE-GGA was carried out for Be2TlNi after structural relaxation.

The calculated volume comes out at 14.17 Å³ per atom. The value obtained for the formation energy from the elements is 0.55 eV/atom. Its total magnetization is 0.0 μB/f.u. As for the total DFT energy (no corrections): -0.2460 Ry per atom.

The space group is C2/m (No. 12) and the conventional cell measures 5.1699, 8.2934 and 3.0436 Å, with angles of 90.00, 119.71 and 90.00 degrees. The distinct sites, in fractional coordinates, are Be at (0.2500, 0.2500, 0.0000), Tl at (0.0000, 0.0000, 0.0000) and Ni at (0.0000, 0.5000, 0.0000).


A plane-wave DFT calculation with PBE-GGA was carried out for KIF2 after structural relaxation.

The calculated volume comes out at 27.04 Å³ per atom. Its total magnetization is 0.0 μB/f.u. As for the raw formation energy: -1.88 eV/atom. As for the total DFT energy (no corrections): -0.2555 Ry per atom.

The space group is R-3m (No. 166, hexagonal axes) and the conventional cell measures 4.4166, 4.4166 and 19.2053 Å, with angles of 90.00, 90.00 and 120.00 degrees. The distinct sites, in fractional coordinates, are K at (0.0000, 0.0000, 0.0000), I at (0.0000, 0.0000, 0.5000) and F at (0.0000, 0.0000, 0.3887).


A plane-wave DFT calculation with PBE-GGA was carried out for CaLa4Pt after structural relaxation.

The calculated volume comes out at 32.16 Å³ per atom. The value obtained for the formation energy from the elements is 0.30 eV/atom. Its total magnetization is 0.0 μB/f.u. As for the total DFT energy (no corrections): -0.3182 Ry per atom.

The space group is F-43m (No. 216) and the conventional cell measures 9.1732, 9.1732 and 9.1732 Å, with angles of 90.00, 90.00 and 90.00 degrees. The distinct sites, in fractional coordinates, are Ca at (0.0000, 0.0000, 0.0000), La at (0.1216, 0.1216, 0.6216) and Pt at (0.2500, 0.2500, 0.2500).


A plane-wave DFT calculation with PBE-GGA was carried out for MgCdI2O8 after structural relaxation.

The calculated volume comes out at 14.81 Å³ per atom. Its total magnetization is 0.0 μB/f.u. As for the raw formation energy: -0.57 eV/atom. As for the total DFT energy (no corrections): -0.3189 Ry per atom.

The space group is I-4m2 (No. 119) and the conventional cell measures 7.2789, 7.2789 and 6.7073 Å, with angles of 90.00, 90.00 and 90.00 degrees. The distinct sites, in fractional coordinates, are Mg at (0.0000, 0.0000, 0.0000), Cd at (0.0000, 0.5000, 0.2500), I at (0.0000, 0.0000, 0.5000), I at (0.0000, 0.5000, 0.7500), O at (0.0000, 0.1834, 0.3013) and O at (0.0000, 0.3058, 0.9385).


A plane-wave DFT calculation with PBE-GGA was carried out for Tm2ZnAu3 after structural relaxation.

The calculated volume comes out at 20.65 Å³ per atom. The value obtained for the formation energy from the elements is -0.72 eV/atom. Its total magnetization is 0.0 μB/f.u. As for the total DFT energy (no corrections): -0.2987 Ry per atom.

The space group is Fmmm (No. 69) and the conventional cell measures 6.6552, 9.3071 and 16.0001 Å, with angles of 90.00, 90.00 and 90.00 degrees. The distinct sites, in fractional coordinates, are Tm at (0.2475, 0.0000, 0.0000), Tm at (0.2500, 0.2500, 0.2500), Zn at (0.0000, 0.0000, 0.3328), Au at (0.0000, 0.0000, 0.1714) and Au at (0.0000, 0.2394, 0.4132).


A plane-wave DFT calculation with PBE-GGA was carried out for K3Ce3TmTe8 after structural relaxation.

The calculated volume comes out at 39.88 Å³ per atom. Its total magnetization is 0.7 μB/f.u. As for the raw formation energy: -1.33 eV/atom. As for the total DFT energy (no corrections): -0.3462 Ry per atom.

The space group is R-3m (No. 166, hexagonal axes) and the conventional cell measures 9.0913, 9.0913 and 25.0639 Å, with angles of 90.00, 90.00 and 120.00 degrees. The distinct sites, in fractional coordinates, are K at (0.0000, 0.5000, 0.0000), Ce at (0.0000, 0.5000, 0.5000), Tm at (0.0000, 0.0000, 0.5000), Te at (0.0000, 0.0000, 0.2378) and Te at (0.0065, 0.5033, 0.2352).


A plane-wave DFT calculation with PBE-GGA was carried out for Nd4AlHg after structural relaxation.

The calculated volume comes out at 33.56 Å³ per atom. The value obtained for the formation energy from the elements is -0.07 eV/atom. Its total magnetization is 0.0 μB/f.u. As for the total DFT energy (no corrections): -0.2882 Ry per atom.

The space group is P4/mmm (No. 123) and the conventional cell measures 5.1845, 5.1845 and 7.4923 Å, with angles of 90.00, 90.00 and 90.00 degrees. The distinct sites, in fractional coordinates, are Nd at (0.0000, 0.5000, 0.2445), Al at (0.0000, 0.0000, 0.0000) and Hg at (0.5000, 0.5000, 0.5000).


A plane-wave DFT calculation with PBE-GGA was carried out for Tb6Ho16Er7 after structural relaxation.

The calculated volume comes out at 32.54 Å³ per atom. The value obtained for the formation energy from the elements is 0.24 eV/atom. Its total magnetization is 1.6 μB/f.u. As for the total DFT energy (no corrections): -0.3191 Ry per atom.

The space group is Fm-3m (No. 225) and the conventional cell measures 15.5696, 15.5696 and 15.5696 Å, with angles of 90.00, 90.00 and 90.00 degrees. The distinct sites, in fractional coordinates, are Tb at (0.0000, 0.0000, 0.2198), Ho at (0.1227, 0.1227, 0.3773), Ho at (0.1522, 0.1522, 0.1522), Er at (0.0000, 0.0000, 0.5000) and Er at (0.0000, 0.2500, 0.2500).


A plane-wave DFT calculation with PBE-GGA was carried out for HoZnIn after structural relaxation.

The calculated volume comes out at 22.59 Å³ per atom. The value obtained for the formation energy from the elements is -0.41 eV/atom. Its total magnetization is 0.0 μB/f.u. As for the total DFT energy (no corrections): -0.2409 Ry per atom.

The space group is P6_3/mmc (No. 194) and the conventional cell measures 4.6729, 4.6729 and 14.3350 Å, with angles of 90.00, 90.00 and 120.00 degrees. The distinct sites, in fractional coordinates, are Ho at (0.0000, 0.0000, 0.0000), Ho at (0.0000, 0.0000, 0.2500), Zn at (0.3333, 0.6667, 0.1162) and In at (0.3333, 0.6667, 0.6244).


A plane-wave DFT calculation with PBE-GGA was carried out for Pr2NdIn2 after structural relaxation.

The calculated volume comes out at 30.42 Å³ per atom. The value obtained for the formation energy from the elements is -0.39 eV/atom. Its total magnetization is 0.0 μB/f.u. As for the total DFT energy (no corrections): -0.3197 Ry per atom.

The space group is P2_1/m (No. 11) and the conventional cell measures 4.5588, 5.0700 and 13.3571 Å, with angles of 90.00, 99.78 and 90.00 degrees. The distinct sites, in fractional coordinates, are Pr at (0.0488, 0.2500, 0.0982), Pr at (0.2381, 0.2500, 0.4777), Nd at (0.1426, 0.7500, 0.2866), In at (0.3520, 0.7500, 0.7021) and In at (0.4531, 0.2500, 0.9061).


A plane-wave DFT calculation with PBE-GGA was carried out for MnSi2GeRu after structural relaxation.

The calculated volume comes out at 16.99 Å³ per atom. Its total magnetization is 0.0 μB/f.u. As for the raw formation energy: 0.65 eV/atom. As for the total DFT energy (no corrections): -0.4504 Ry per atom.

The space group is P4/mmm (No. 123) and the conventional cell measures 4.3226, 4.3226 and 4.5473 Å, with angles of 90.00, 90.00 and 90.00 degrees. The distinct sites, in fractional coordinates, are Mn at (0.0000, 0.0000, 0.0000), Si at (0.0000, 0.5000, 0.0000), Ge at (0.5000, 0.5000, 0.5000) and Ru at (0.0000, 0.0000, 0.5000).


A plane-wave DFT calculation with PBE-GGA was carried out for Ti3Cu2NiS8 after structural relaxation.

The calculated volume comes out at 17.55 Å³ per atom. Its total magnetization is 0.5 μB/f.u. As for the raw formation energy: -0.92 eV/atom. As for the total DFT energy (no corrections): -0.4390 Ry per atom.

The space group is R-3m (No. 166, hexagonal axes) and the conventional cell measures 6.9742, 6.9742 and 17.4947 Å, with angles of 90.00, 90.00 and 120.00 degrees. The distinct sites, in fractional coordinates, are Ti at (0.0000, 0.5000, 0.0000), Cu at (0.0000, 0.0000, 0.1242), Ni at (0.0000, 0.0000, 0.5000), S at (0.0000, 0.0000, 0.2539) and S at (0.0213, 0.5106, 0.2501).


A plane-wave DFT calculation with PBE-GGA was carried out for CeDyTe2 after structural relaxation.

The calculated volume comes out at 30.79 Å³ per atom. Its total magnetization is 1.2 μB/f.u. As for the raw formation energy: -1.30 eV/atom. As for the total DFT energy (no corrections): -0.4046 Ry per atom.

The space group is R3m (No. 160, hexagonal axes) and the conventional cell measures 4.2415, 4.2415 and 23.7158 Å, with angles of 90.00, 90.00 and 120.00 degrees. The distinct sites, in fractional coordinates, are Ce at (0.0000, 0.0000, 0.0000), Dy at (0.0000, 0.0000, 0.8267), Te at (0.0000, 0.0000, 0.4159) and Te at (0.0000, 0.0000, 0.5773).


A plane-wave DFT calculation with PBE-GGA was carried out for U2Al20Fe after structural relaxation.

The calculated volume comes out at 17.57 Å³ per atom. The value obtained for the formation energy from the elements is -0.10 eV/atom. Its total magnetization is 3.4 μB/f.u. As for the total DFT energy (no corrections): -0.3460 Ry per atom.

The space group is I-42m (No. 121) and the conventional cell measures 12.6511, 12.6511 and 10.0967 Å, with angles of 90.00, 90.00 and 90.00 degrees. The distinct sites, in fractional coordinates, are U at (0.1620, 0.1620, 0.2494), Al at (0.0000, 0.0000, 0.2473), Al at (0.0000, 0.1513, 0.5000), Al at (0.0000, 0.1524, 0.0000), Al at (0.0000, 0.5000, 0.2500), Al at (0.0716, 0.3400, 0.3925), Al at (0.0717, 0.3407, 0.1087), Al at (0.0872, 0.2346, 0.7488), Al at (0.2408, 0.2408, 0.9901) and Fe at (0.0000, 0.5000, 0.0000).